# 1
Density functional theory data (GGA-PBE) for an optimized crystal structure of LaSb2TeRu.

```
5
Lattice="5.0272 0.0000 0.0000 0.0000 5.0272 0.0000 0.0000 0.0000 5.7376" Properties=species:S:1:pos:R:3 pbc="T T T"
La 0.0000 0.0000 0.0000
Sb 0.0000 2.5136 2.8688
Sb 2.5136 0.0000 2.8688
Te 2.5136 2.5136 0.0000
Ru 2.5136 2.5136 2.8688
```

Output
- Total moment: 0.00 μB per formula unit
- Crystal system: tetragonal
- Energy relative to the elements, uncorrected: -0.227 eV/atom
- ΔE to the lowest computed polymorph: 0.00 kcal/mol of atoms
- Energy: -5.345 eV per atom

***

# 2
Density functional theory data (GGA-PBE) for an optimized crystal structure of LiP2W.

```
4
Lattice="3.1933 0.0000 0.0000 0.0000 4.0781 0.0000 -1.5903 0.0000 4.3519" Properties=species:S:1:pos:R:3 pbc="T T T"
Li 0.0000 0.0000 0.0000
P 1.5618 2.0390 0.3625
P 1.6516 0.0000 1.9582
W -0.0348 2.0390 2.2230
```

Output
- Total moment: 0.00 μB per formula unit
- Crystal system: monoclinic
- Energy of formation from the pure elements: -0.141 eV per atom
- ΔE to the lowest computed polymorph: 4.59 kcal/mol of atoms
- Energy: -6.563 eV per atom